(1)
# GeTe3Pt | Alexandria | PBE | relaxed
data_GeTe3Pt
_cell_length_a 5.279
_cell_length_b 5.279
_cell_length_c 5.279
_cell_angle_alpha 90.00
_cell_angle_beta 90.00
_cell_angle_gamma 90.00
_space_group_name_H-M_alt 'P m -3 m'
_space_group_IT_number 221
_space_group_name_Hall '-P 4 2 3'
loop_
_atom_site_label
_atom_site_type_symbol
_atom_site_fract_x
_atom_site_fract_y
_atom_site_fract_z
_atom_site_occupancy
Ge1 Ge 0.000 0.000 0.000 1
Te1 Te 0.000 0.000 0.500 1
Pt1 Pt 0.500 0.500 0.500 1
# Formation energy from raw total energies = 4.93 eV/f.u.

***

(2)
# GeTe2Pt | Alexandria | PBE | relaxed
data_GeTe2Pt
_cell_length_a 3.9377
_cell_length_b 3.9377
_cell_length_c 26.3072
_cell_angle_alpha 90.00
_cell_angle_beta 90.00
_cell_angle_gamma 120.00
_space_group_name_H-M_alt 'R -3 m'
_space_group_IT_number 166
_space_group_name_Hall '-R 3 2"'
loop_
_atom_site_label
_atom_site_type_symbol
_atom_site_fract_x
_atom_site_fract_y
_atom_site_fract_z
_atom_site_occupancy
Ge1 Ge 0.0000 0.0000 0.0000 1
Te1 Te 0.0000 0.0000 0.1113 1
Pt1 Pt 0.0000 0.0000 0.5000 1
# Formation energy from raw total energies = 0.29 eV/f.u.

***

(3)
# Ge2Te2Pt3 | Alexandria | PBE | relaxed
data_Ge2Te2Pt3
_cell_length_a 4.127
_cell_length_b 5.953
_cell_length_c 6.773
_cell_angle_alpha 90.67
_cell_angle_beta 90.11
_cell_angle_gamma 110.24
_space_group_name_H-M_alt 'P -1'
_space_group_IT_number 2
loop_
_space_group_symop_operation_xyz
'x,y,z'
'-x,-y,-z'
loop_
_atom_site_label
_atom_site_type_symbol
_atom_site_fract_x
_atom_site_fract_y
_atom_site_fract_z
_atom_site_occupancy
Ge1 Ge 0.137 0.274 0.437 1
Te1 Te 0.359 0.719 0.144 1
Pt1 Pt 0.278 0.557 0.734 1
Pt2 Pt 0.500 0.000 0.500 1
# Formation energy from raw total energies = -2.25 eV/f.u.

***

(4)
# Ge2TePt | Alexandria | PBE | relaxed
data_Ge2TePt
_cell_length_a 6.141
_cell_length_b 6.141
_cell_length_c 11.637
_cell_angle_alpha 90.00
_cell_angle_beta 90.00
_cell_angle_gamma 90.00
_space_group_name_H-M_alt 'I -4 2 d'
_space_group_IT_number 122
_space_group_name_Hall 'I -4 2bw'
loop_
_atom_site_label
_atom_site_type_symbol
_atom_site_fract_x
_atom_site_fract_y
_atom_site_fract_z
_atom_site_occupancy
Ge1 Ge 0.192 0.250 0.125 1
Te1 Te 0.000 0.000 0.500 1
Pt1 Pt 0.000 0.000 0.000 1
# Formation energy from raw total energies = -0.41 eV/f.u.

***

(5)
# GeTe2Pt | Alexandria | PBE | relaxed
data_GeTe2Pt
_cell_length_a 3.1315
_cell_length_b 3.1315
_cell_length_c 33.6021
_cell_angle_alpha 90.00
_cell_angle_beta 90.00
_cell_angle_gamma 120.00
_space_group_name_H-M_alt 'R -3 m'
_space_group_IT_number 166
_space_group_name_Hall '-R 3 2"'
loop_
_atom_site_label
_atom_site_type_symbol
_atom_site_fract_x
_atom_site_fract_y
_atom_site_fract_z
_atom_site_occupancy
Ge1 Ge 0.0000 0.0000 0.0000 1
Te1 Te 0.0000 0.0000 0.4223 1
Pt1 Pt 0.0000 0.0000 0.5000 1
# Formation energy from raw total energies = 1.33 eV/f.u.

***

(6)
# Th4GeTe2Pt | Alexandria | PBE | relaxed
data_Th4GeTe2Pt
_cell_length_a 7.667
_cell_length_b 4.249
_cell_length_c 7.753
_cell_angle_alpha 90.00
_cell_angle_beta 108.11
_cell_angle_gamma 90.00
_space_group_name_H-M_alt 'P 1 2/m 1'
_space_group_IT_number 10
loop_
_space_group_symop_operation_xyz
'x,y,z'
'-x,-y,-z'
'-x,y,-z'
'x,-y,z'
loop_
_atom_site_label
_atom_site_type_symbol
_atom_site_fract_x
_atom_site_fract_y
_atom_site_fract_z
_atom_site_occupancy
Th1 Th 0.228 0.000 0.212 1
Th2 Th 0.259 0.500 0.781 1
Ge1 Ge 0.500 0.000 0.000 1
Te1 Te 0.000 0.000 0.500 1
Te2 Te 0.500 0.500 0.500 1
Pt1 Pt 0.000 0.500 0.000 1
# Formation energy from raw total energies = -8.63 eV/f.u.

***

DOS at the Fermi energy in states/eV/cell, matching the order above: 6.17 6.94 3.16 2.14 6.98 4.71